# DyRhPbAu

A geometry-optimized DyRhPbAu structure (PBE, Alexandria via LeMat-Bulk).

D(E_F) ... 1.964 states/eV/f.u.
Energy relative to the elements ... -181 kJ/mol of formula units

Lattice parameters (Å, degrees): 4.9222 4.9222 4.9222 60.00 60.00 60.00
Closest atoms and distances in Å follow each position.
Fractional positions:
Pb 0.7500 0.7500 0.7500  4 Au 3.01, 4 Rh 3.01
Rh 0.5000 0.5000 0.5000  4 Pb 3.01, 4 Dy 3.01
Au 0.0000 0.0000 0.0000  4 Pb 3.01, 4 Dy 3.01
Dy 0.2500 0.2500 0.2500  4 Rh 3.01, 4 Au 3.01